Entry from Alexandria: a geometry-optimized Sm3Al12Os4 structure (PBEsol).

Output
ΔH_f (0 K) = -0.5813 eV per atom
crystal system = hexagonal

a b c (Å): 8.792 8.792 9.579
angles (deg): 90.00 90.00 120.00
Positions (direct):
Sm 0.192 0.385 0.250
Sm 0.192 0.808 0.250
Sm 0.385 0.192 0.750
Sm 0.615 0.808 0.250
Sm 0.808 0.192 0.750
Sm 0.808 0.615 0.750
Al 0.000 0.000 0.250
Al 0.000 0.000 0.750
Al 0.123 0.562 0.750
Al 0.163 0.326 0.574
Al 0.163 0.326 0.926
Al 0.163 0.837 0.574
Al 0.163 0.837 0.926
Al 0.326 0.163 0.074
Al 0.326 0.163 0.426
Al 0.333 0.667 0.015
Al 0.333 0.667 0.485
Al 0.438 0.562 0.750
Al 0.438 0.877 0.750
Al 0.562 0.123 0.250
Al 0.562 0.438 0.250
Al 0.667 0.333 0.515
Al 0.667 0.333 0.985
Al 0.674 0.837 0.574
Al 0.674 0.837 0.926
Al 0.837 0.163 0.074
Al 0.837 0.163 0.426
Al 0.837 0.674 0.074
Al 0.837 0.674 0.426
Al 0.877 0.438 0.250
Os 0.000 0.000 0.000
Os 0.000 0.000 0.500
Os 0.000 0.500 0.000
Os 0.000 0.500 0.500
Os 0.500 0.000 0.000
Os 0.500 0.000 0.500
Os 0.500 0.500 0.000
Os 0.500 0.500 0.500

---

Entry from Alexandria: a geometry-optimized Al3SnOs structure (PBEsol).

Output
ΔH_f (0 K) = 0.2164 eV per atom
crystal system = cubic

a b c (Å): 4.749 4.749 4.749
angles (deg): 90.00 90.00 90.00
Positions (direct):
Al 0.000 0.000 0.500
Al 0.000 0.500 0.000
Al 0.500 0.000 0.000
Sn 0.500 0.500 0.500
Os 0.000 0.000 0.000

---

Entry from Alexandria: a geometry-optimized Ta2AlOs structure (PBEsol).

Output
ΔH_f (0 K) = -0.0538 eV per atom
crystal system = orthorhombic

a b c (Å): 2.781 2.781 8.918
angles (deg): 90.00 90.00 111.32
Positions (direct):
Ta 0.000 0.000 0.245
Ta 0.000 0.000 0.755
Al 0.500 0.500 0.500
Os 0.500 0.500 0.000

---

Entry from Alexandria: a geometry-optimized Ta2AlOs structure (PBEsol).

Output
ΔH_f (0 K) = -0.1032 eV per atom
crystal system = cubic

a b c (Å): 4.465 4.465 4.465
angles (deg): 60.00 60.00 60.00
Positions (direct):
Ta 0.000 0.000 0.000
Ta 0.250 0.250 0.250
Al 0.750 0.750 0.750
Os 0.500 0.500 0.500

---

Entry from Alexandria: a geometry-optimized Ta2AlOs structure (PBEsol).

Output
ΔH_f (0 K) = -0.0786 eV per atom
crystal system = orthorhombic

a b c (Å): 2.812 2.812 8.602
angles (deg): 90.00 90.00 109.72
Positions (direct):
Ta 0.000 0.000 0.000
Ta 0.500 0.500 0.265
Al 0.500 0.500 0.740
Os 0.000 0.000 0.509

---

Entry from Alexandria: a geometry-optimized Ta2AlOs structure (PBEsol).

Output
ΔH_f (0 K) = -0.2727 eV per atom
crystal system = orthorhombic

a b c (Å): 5.266 5.266 5.266
angles (deg): 144.70 131.00 61.83
Positions (direct):
Ta 0.238 0.238 0.000
Ta 0.762 0.762 0.000
Al 0.500 0.000 0.500
Os 0.000 0.500 0.500

---

Entry from Alexandria: a geometry-optimized Al2TeOs structure (PBEsol).

Output
crystal system = tetragonal
formation energy from raw total energies = 16.3 kJ/mol of atoms

a b c (Å): 3.071 3.071 7.548
angles (deg): 90.00 90.00 90.00
Positions (direct):
Al 0.000 0.000 0.000
Al 0.500 0.500 0.231
Te 0.500 0.500 0.655
Os 0.000 0.000 0.423

---

Entry from Alexandria: a geometry-optimized AlTeOs3 structure (PBEsol).

Output
crystal system = cubic
formation energy from raw total energies = 165.3 kJ/mol of atoms

a b c (Å): 4.457 4.457 4.457
angles (deg): 90.00 90.00 90.00
Positions (direct):
Al 0.000 0.000 0.000
Te 0.500 0.500 0.500
Os 0.000 0.000 0.500
Os 0.000 0.500 0.000
Os 0.500 0.000 0.000

---

Entry from Alexandria: a geometry-optimized Al2TlTeOs structure (PBEsol).

Output
crystal system = tetragonal
formation energy from raw total energies = 26.0 kJ/mol of atoms

a b c (Å): 4.766 4.766 5.357
angles (deg): 90.00 90.00 90.00
Positions (direct):
Al 0.000 0.500 0.000
Al 0.500 0.000 0.000
Tl 0.000 0.000 0.500
Te 0.500 0.500 0.500
Os 0.500 0.500 0.000

---

Entry from Alexandria: a geometry-optimized Ti6Al16Os7 structure (PBEsol).

Output
ΔH_f (0 K) = -0.4504 eV per atom
crystal system = cubic

a b c (Å): 8.542 8.542 8.542
angles (deg): 60.00 60.00 60.00
Positions (direct):
Ti 0.217 0.217 0.783
Ti 0.217 0.783 0.217
Ti 0.217 0.783 0.783
Ti 0.783 0.217 0.217
Ti 0.783 0.217 0.783
Ti 0.783 0.783 0.217
Al 0.138 0.621 0.621
Al 0.156 0.156 0.156
Al 0.156 0.156 0.532
Al 0.156 0.532 0.156
Al 0.379 0.379 0.379
Al 0.379 0.379 0.862
Al 0.379 0.862 0.379
Al 0.468 0.844 0.844
Al 0.532 0.156 0.156
Al 0.621 0.138 0.621
Al 0.621 0.621 0.138
Al 0.621 0.621 0.621
Al 0.844 0.468 0.844
Al 0.844 0.844 0.468
Al 0.844 0.844 0.844
Al 0.862 0.379 0.379
Os 0.000 0.000 0.500
Os 0.000 0.500 0.000
Os 0.000 0.500 0.500
Os 0.500 0.000 0.000
Os 0.500 0.000 0.500
Os 0.500 0.500 0.000
Os 0.500 0.500 0.500

---

| no. | energy (eV per atom) |
| --- | --- |
| 1 | -6.54 |
| 2 | -5.53 |
| 3 | -10.41 |
| 4 | -10.46 |
| 5 | -10.43 |
| 6 | -10.63 |
| 7 | -5.81 |
| 8 | -7.14 |
| 9 | -5.04 |
| 10 | -7.38 |